(1)
First-principles (GGA-PBE) data for a relaxed structure of K2InIrSe, as listed in Alexandria.

For the uncorrected formation energy, the calculation gives 0.13 eV per atom. The space group is P4/mmm. Its total magnetization is 0.0 μB per cell.

```
K2InIrSe
1.0
-4.987 2.198 3.252
-0.974 -4.249 1.378
3.685 0.810 5.103
K Ir Se In
2 1 1 1
direct
0.000 0.000 0.500
0.500 0.000 0.000
0.000 0.000 0.000
0.000 0.500 0.000
0.500 0.500 0.500
```

(2)
First-principles (GGA-PBE) data for a relaxed structure of KIn2SnIr, as listed in Alexandria.

The energy of formation comes out at -71 meV/atom. As for the distance to the lowest polymorph of the same formula: 0 meV/atom. The space group is P4/mmm. Its total magnetization is 0.0 μB per cell.

```
KIn2SnIr
1.0
-3.208 -1.291 3.937
-3.182 -2.422 -3.387
2.670 -4.491 0.703
K Ir Sn In
1 1 1 2
direct
0.500 0.500 0.500
0.000 0.000 0.000
0.000 0.000 0.500
0.000 0.500 0.000
0.500 0.000 0.000
```

(3)
First-principles (GGA-PBE) data for a relaxed structure of KIn2SnIr, as listed in Alexandria.

The energy of formation comes out at 318 meV/atom. As for the distance to the lowest polymorph of the same formula: 389 meV/atom. The space group is P4/mmm. Its total magnetization is 0.0 μB per cell.

```
KIn2SnIr
1.0
5.173 0.000 0.000
0.000 5.914 0.000
0.000 0.000 5.173
K Ir Sn In
1 1 1 2
direct
0.000 0.500 0.000
0.000 0.000 0.000
0.500 0.500 0.500
0.000 0.000 0.500
0.500 0.000 0.000
```

(4)
First-principles (GGA-PBE) data for a relaxed structure of KSrIn2Ir, as listed in Alexandria.

The energy of formation comes out at -191 meV/atom. The space group is P4/mmm. Its total magnetization is 0.0 μB per cell.

```
KSrIn2Ir
1.0
5.307 0.000 0.000
0.000 5.307 0.000
0.000 0.000 5.740
Sr K Ir In
1 1 1 2
direct
0.000 0.000 0.500
0.500 0.500 0.500
0.000 0.000 0.000
0.000 0.500 0.000
0.500 0.000 0.000
```

(5)
First-principles (GGA-PBE) data for a relaxed structure of KIn2TeIr, as listed in Alexandria.

For the uncorrected formation energy, the calculation gives 1.07 eV per atom. The space group is P4/mmm. Its total magnetization is 1.6 μB per cell.

```
KIn2TeIr
1.0
-1.455 5.289 2.546
-2.153 -3.061 5.129
5.500 0.312 2.495
K Ir Te In
1 1 1 2
direct
0.000 0.500 0.000
0.500 0.500 0.500
0.000 0.000 0.000
0.000 0.000 0.500
0.500 0.000 0.000
```

(6)
First-principles (GGA-PBE) data for a relaxed structure of KTl2InIr, as listed in Alexandria.

The energy of formation comes out at -17 meV/atom. The space group is P4/mmm. Its total magnetization is 0.0 μB per cell.

```
KTl2InIr
1.0
5.365 0.000 0.000
0.000 5.365 0.000
0.000 0.000 5.260
Tl Ir K In
2 1 1 1
direct
0.000 0.500 0.000
0.500 0.000 0.000
0.000 0.000 0.000
0.500 0.500 0.500
0.000 0.000 0.500
```

(7)
First-principles (GGA-PBE) data for a relaxed structure of KZnInIr2, as listed in Alexandria.

The energy of formation comes out at 2218 meV/atom. The space group is P4/mmm. Its total magnetization is 0.0 μB per cell.

```
KZnInIr2
1.0
4.901 0.000 0.000
0.000 4.921 0.000
0.000 0.000 4.901
Zn Ir K In
1 2 1 1
direct
0.000 0.500 0.000
0.000 0.000 0.500
0.500 0.000 0.000
0.000 0.000 0.000
0.500 0.500 0.500
```

(8)
First-principles (GGA-PBE) data for a relaxed structure of KZn2InIr, as listed in Alexandria.

The energy of formation comes out at -162 meV/atom. The space group is P4/mmm. Its total magnetization is 0.0 μB per cell.

```
KZn2InIr
1.0
-2.658 -2.776 -3.171
-2.359 -2.126 3.839
-3.601 3.660 -0.185
Zn Ir K In
2 1 1 1
direct
0.000 0.500 0.000
0.500 0.000 0.000
0.000 0.000 0.000
0.500 0.500 0.500
0.000 0.000 0.500
```

(9)
First-principles (GGA-PBE) data for a relaxed structure of KZnIn2Ir, as listed in Alexandria.

The energy of formation comes out at -185 meV/atom. The space group is P4/mmm. Its total magnetization is 0.0 μB per cell.

```
KZnIn2Ir
1.0
5.186 0.000 0.000
0.000 5.186 0.000
0.000 0.000 5.058
Zn Ir K In
1 1 1 2
direct
0.000 0.000 0.500
0.000 0.000 0.000
0.500 0.500 0.500
0.000 0.500 0.000
0.500 0.000 0.000
```

(10)
First-principles (GGA-PBE) data for a relaxed structure of LaInIr2, as listed in Alexandria.

The energy of formation comes out at 113 meV/atom. The space group is F-43m. Its total magnetization is 0.0 μB per cell.

```
LaInIr2
1.0
4.873 0.000 0.000
2.437 4.220 0.000
2.437 1.407 3.979
In Ir La
1 2 1
direct
0.500 0.500 0.500
0.000 0.000 0.000
0.250 0.250 0.250
0.750 0.750 0.750
```

(11)
First-principles (GGA-PBE) data for a relaxed structure of LaInIr2, as listed in Alexandria.

The energy of formation comes out at -327 meV/atom. The space group is P4/mmm. Its total magnetization is 0.0 μB per cell.

```
LaInIr2
1.0
-2.232 3.043 -2.576
-1.114 -3.312 -2.947
-3.203 -0.678 1.973
In Ir La
1 2 1
direct
0.000 0.500 0.500
0.000 0.000 0.000
0.500 0.500 0.000
0.500 0.000 0.500
```

(12)
First-principles (GGA-PBE) data for a relaxed structure of La2InIr2, as listed in Alexandria.

The energy of formation comes out at -699 meV/atom. The space group is C2/c. Its total magnetization is 0.0 μB per cell.

```
La2InIr2
1.0
-4.220 1.994 -3.667
-1.365 -2.828 -5.037
-6.668 -4.539 2.076
La In Ir
4 2 4
direct
0.518 0.193 0.147
0.807 0.482 0.353
0.482 0.807 0.853
0.193 0.518 0.647
0.153 0.847 0.250
0.847 0.153 0.750
0.715 0.002 0.505
0.998 0.285 0.995
0.285 0.998 0.495
0.002 0.715 0.005
```

(13)
First-principles (GGA-PBE) data for a relaxed structure of La4InIr, as listed in Alexandria.

The energy of formation comes out at -395 meV/atom. As for the distance to the lowest polymorph of the same formula: 132 meV/atom. The space group is C2/c. Its total magnetization is 0.0 μB per cell.

```
La4InIr
1.0
7.198 -0.204 0.000
-1.471 7.762 0.000
-2.864 -3.779 7.693
La In Ir
8 2 2
direct
0.282 0.943 0.567
0.041 0.807 0.071
0.214 0.376 0.433
0.469 0.736 0.929
0.718 0.057 0.433
0.786 0.624 0.567
0.959 0.193 0.929
0.531 0.264 0.071
0.371 0.621 0.242
0.629 0.379 0.758
0.835 0.085 0.170
0.165 0.915 0.830
```

(14)
First-principles (GGA-PBE) data for a relaxed structure of La6InIr, as listed in Alexandria.

The energy of formation comes out at -257 meV/atom. The space group is C2/m. Its total magnetization is 0.0 μB per cell.

```
La6InIr
1.0
6.631 0.392 0.000
1.883 8.232 0.000
0.941 4.116 5.160
La In Ir
6 1 1
direct
0.797 0.592 0.604
0.797 0.196 0.396
0.203 0.804 0.604
0.203 0.408 0.396
0.603 0.797 0.000
0.397 0.203 0.000
0.000 0.000 0.000
0.500 0.500 0.000
```

(15)
First-principles (GGA-PBE) data for a relaxed structure of La2InIr, as listed in Alexandria.

The energy of formation comes out at -489 meV/atom. The space group is Pm. Its total magnetization is 0.0 μB per cell.

```
La2InIr
1.0
-2.610 3.355 2.153
-2.716 -0.151 -3.057
-4.409 -4.235 1.256
In Ir La
1 1 2
direct
0.000 0.699 0.481
0.500 0.564 0.747
0.000 0.978 0.906
0.500 0.259 0.365
```

(16)
First-principles (GGA-PBE) data for a relaxed structure of LaInIr2, as listed in Alexandria.

The energy of formation comes out at -78 meV/atom. The space group is P4mm. Its total magnetization is 0.0 μB per cell.

```
LaInIr2
1.0
3.495 0.000 0.000
0.000 3.495 0.000
0.000 0.000 7.237
In Ir La
1 2 1
direct
0.500 0.500 0.805
0.000 0.000 0.057
0.500 0.500 0.186
0.000 0.000 0.453
```

(17)
First-principles (GGA-PBE) data for a relaxed structure of La3InIr, as listed in Alexandria.

The energy of formation comes out at -532 meV/atom. As for the distance to the lowest polymorph of the same formula: 25 meV/atom. The space group is Pm. Its total magnetization is 0.0 μB per cell.

```
La3InIr
1.0
-1.900 -8.704 2.377
2.094 0.469 3.393
-4.304 5.942 6.583
La Ir In
6 2 2
direct
0.364 0.657 0.898
0.919 0.917 0.639
0.067 0.992 0.064
0.711 0.818 0.237
0.166 0.597 0.458
0.565 0.417 0.638
0.142 0.281 0.774
0.946 0.282 0.273
0.408 0.247 0.308
0.746 0.618 0.938
```

(18)
First-principles (GGA-PBE) data for a relaxed structure of La2InIr, as listed in Alexandria.

The energy of formation comes out at -567 meV/atom. The space group is P4/mmm. Its total magnetization is 0.0 μB per cell.

```
La2InIr
1.0
3.605 0.000 0.000
0.000 3.605 0.000
0.000 0.000 8.424
Ir In La
1 1 2
direct
0.500 0.500 0.750
0.500 0.500 0.250
0.000 0.000 0.955
0.000 0.000 0.545
```

(19)
First-principles (GGA-PBE) data for a relaxed structure of La2InIr, as listed in Alexandria.

The energy of formation comes out at -549 meV/atom. The space group is R3m. Its total magnetization is 0.0 μB per cell.

```
La2InIr
1.0
-0.289 -3.211 -2.666
3.366 -2.342 -0.826
-0.938 -6.888 5.115
La In Ir
2 1 1
direct
0.064 0.064 0.808
0.270 0.270 0.191
0.500 0.500 0.499
0.666 0.666 0.002
```

(20)
First-principles (GGA-PBE) data for a relaxed structure of La2InIr, as listed in Alexandria.

The energy of formation comes out at -271 meV/atom. The space group is P4mm. Its total magnetization is 0.0 μB per cell.

```
La2InIr
1.0
-1.194 -0.344 -3.304
0.856 -3.424 0.047
-8.181 -2.001 3.166
In Ir La
1 1 2
direct
0.000 0.000 0.557
0.500 0.500 0.724
0.000 0.000 0.913
0.500 0.500 0.305
```